{
  "formula": "ScCu2As",
  "functional": "PBE",
  "state": "relaxed",
  "lattice_angstrom": [[-1.872, 1.872, 9.653], [1.872, -1.872, 9.653], [1.872, 1.872, -9.653]],
  "species": ["Sc", "Sc", "Cu", "Cu", "Cu", "Cu", "As", "As"],
  "fractional_positions": [[0.000, 0.000, 0.000], [0.750, 0.250, 0.500], [0.141, 0.625, 0.016], [0.375, 0.391, 0.516], [0.609, 0.125, 0.984], [0.875, 0.859, 0.484], [0.250, 0.750, 0.500], [0.500, 0.500, 0.000]],
  "sg": "I-42d (122)",
  "e_form_ev_per_atom": -0.258,
  "dft_energy_ev_per_cell": -40.4,
  "dos_at_fermi_per_ev_fu": 1.7
}



{
  "formula": "ZrZnFe",
  "functional": "PBE",
  "state": "relaxed",
  "lattice_angstrom": [[4.384, 0.000, 0.000], [-2.192, 3.797, 0.000], [0.000, 0.000, 2.932]],
  "species": ["Zr", "Zn", "Fe"],
  "fractional_positions": [[0.000, 0.000, 0.000], [0.333, 0.667, 0.500], [0.667, 0.333, 0.500]],
  "sg": "P-6m2 (187)",
  "e_form_ev_per_atom": -0.011,
  "dft_energy_ev_per_cell": -18.3,
  "dos_at_fermi_per_ev_fu": 3.6
}



{
  "formula": "Tl2Bi2I",
  "functional": "PBE",
  "state": "relaxed",
  "lattice_angstrom": [[-2.251, 2.251, 9.562], [2.251, -2.251, 9.562], [2.251, 2.251, -9.562]],
  "species": ["Tl", "Tl", "Bi", "Bi", "I"],
  "fractional_positions": [[0.096, 0.096, 0.000], [0.904, 0.904, 0.000], [0.250, 0.750, 0.500], [0.750, 0.250, 0.500], [0.500, 0.500, 0.000]],
  "sg": "I4/mmm (139)",
  "relative_energy_mev_per_atom": 0,
  "dft_energy_ev_per_cell": -15.0,
  "dos_at_fermi_per_ev_fu": 1.9,
  "raw_formation_energy_ev_per_atom": -0.181
}



{
  "formula": "Mn2AlFeH",
  "functional": "PBE",
  "state": "relaxed",
  "lattice_angstrom": [[3.613, 0.000, 0.000], [0.000, 3.613, 0.000], [0.000, 0.000, 3.894]],
  "species": ["Mn", "Mn", "Al", "Fe", "H"],
  "fractional_positions": [[0.000, 0.500, 0.000], [0.500, 0.000, 0.000], [0.000, 0.000, 0.500], [0.500, 0.500, 0.500], [0.000, 0.000, 0.000]],
  "sg": "P4/mmm (123)",
  "relative_energy_mev_per_atom": 139,
  "dft_energy_ev_per_cell": -34.0,
  "dos_at_fermi_per_ev_fu": 3.4
}



{
  "formula": "PmHo2Cd8",
  "functional": "PBE",
  "state": "relaxed",
  "lattice_angstrom": [[4.096, -7.945, 0.000], [4.096, 7.945, 0.000], [-3.379, 0.000, 4.131]],
  "species": ["Pm", "Ho", "Ho", "Cd", "Cd", "Cd", "Cd", "Cd", "Cd", "Cd", "Cd"],
  "fractional_positions": [[0.000, 0.000, 0.000], [0.311, 0.689, 0.500], [0.689, 0.311, 0.500], [0.101, 0.363, 0.741], [0.202, 0.798, 0.000], [0.363, 0.101, 0.741], [0.491, 0.491, 0.739], [0.509, 0.509, 0.261], [0.637, 0.899, 0.259], [0.798, 0.202, 0.000], [0.899, 0.637, 0.259]],
  "sg": "C2/m (12)",
  "e_form_ev_per_atom": -0.253,
  "dft_energy_ev_per_cell": -24.0,
  "dos_at_fermi_per_ev_fu": 6.0
}



{
  "formula": "Ag5Bi3Br12",
  "functional": "PBE",
  "state": "relaxed",
  "lattice_angstrom": [[-8.697, 8.697, 8.697], [8.697, -8.697, 8.697], [8.697, 8.697, -8.697]],
  "species": ["Ag", "Ag", "Ag", "Ag", "Ag", "Ag", "Ag", "Ag", "Ag", "Ag", "Ag", "Ag", "Ag", "Ag", "Ag", "Ag", "Ag", "Ag", "Ag", "Ag", "Bi", "Bi", "Bi", "Bi", "Bi", "Bi", "Bi", "Bi", "Bi", "Bi", "Bi", "Bi", "Br", "Br", "Br", "Br", "Br", "Br", "Br", "Br", "Br", "Br", "Br", "Br", "Br", "Br", "Br", "Br", "Br", "Br", "Br", "Br", "Br", "Br", "Br", "Br", "Br", "Br", "Br", "Br", "Br", "Br", "Br", "Br", "Br", "Br", "Br", "Br", "Br", "Br", "Br", "Br", "Br", "Br", "Br", "Br", "Br", "Br", "Br", "Br"],
  "fractional_positions": [[0.000, 0.000, 0.000], [0.000, 0.000, 0.500], [0.000, 0.500, 0.000], [0.000, 0.500, 0.500], [0.125, 0.750, 0.875], [0.125, 0.875, 0.250], [0.250, 0.125, 0.875], [0.250, 0.625, 0.375], [0.375, 0.250, 0.625], [0.375, 0.625, 0.750], [0.500, 0.000, 0.000], [0.500, 0.000, 0.500], [0.500, 0.500, 0.000], [0.500, 0.500, 0.500], [0.625, 0.375, 0.250], [0.625, 0.750, 0.375], [0.750, 0.375, 0.625], [0.750, 0.875, 0.125], [0.875, 0.125, 0.750], [0.875, 0.250, 0.125], [0.125, 0.250, 0.375], [0.125, 0.375, 0.750], [0.250, 0.375, 0.125], [0.250, 0.875, 0.625], [0.375, 0.125, 0.250], [0.375, 0.750, 0.125], [0.625, 0.250, 0.875], [0.625, 0.875, 0.750], [0.750, 0.125, 0.375], [0.750, 0.625, 0.875], [0.875, 0.625, 0.250], [0.875, 0.750, 0.625], [0.040, 0.208, 0.147], [0.040, 0.332, 0.893], [0.061, 0.708, 0.668], [0.061, 0.853, 0.393], [0.107, 0.647, 0.439], [0.107, 0.960, 0.668], [0.147, 0.040, 0.208], [0.147, 0.607, 0.939], [0.168, 0.208, 0.561], [0.168, 0.460, 0.607], [0.208, 0.147, 0.040], [0.208, 0.561, 0.168], [0.292, 0.332, 0.939], [0.292, 0.460, 0.353], [0.332, 0.893, 0.040], [0.332, 0.939, 0.292], [0.353, 0.292, 0.460], [0.353, 0.561, 0.893], [0.393, 0.061, 0.853], [0.393, 0.832, 0.540], [0.439, 0.107, 0.647], [0.439, 0.832, 0.792], [0.460, 0.353, 0.292], [0.460, 0.607, 0.168], [0.540, 0.393, 0.832], [0.540, 0.647, 0.708], [0.561, 0.168, 0.208], [0.561, 0.893, 0.353], [0.607, 0.168, 0.460], [0.607, 0.939, 0.147], [0.647, 0.439, 0.107], [0.647, 0.708, 0.540], [0.668, 0.061, 0.708], [0.668, 0.107, 0.960], [0.708, 0.540, 0.647], [0.708, 0.668, 0.061], [0.792, 0.439, 0.832], [0.792, 0.853, 0.960], [0.832, 0.540, 0.393], [0.832, 0.792, 0.439], [0.853, 0.393, 0.061], [0.853, 0.960, 0.792], [0.893, 0.040, 0.332], [0.893, 0.353, 0.561], [0.939, 0.147, 0.607], [0.939, 0.292, 0.332], [0.960, 0.668, 0.107], [0.960, 0.792, 0.853]],
  "sg": "Ia-3d (230)",
  "dft_energy_ev_per_cell": -213.1,
  "dos_at_fermi_per_ev_fu": 1.6,
  "raw_formation_energy_ev_per_atom": -0.366
}